Below is an optimized crystal structure of TiTcNi, with properties calculated at the GGA-PBE level.

a b c (Å): 4.1658 4.3563 5.0317
angles (deg): 90.00 114.30 90.00
Element x y z (fractional)
1 Ni 0.5313 0.5000 0.7489
2 Ni 0.1922 0.5000 0.0736
3 Tc 0.0200 0.0000 0.7202
4 Tc 0.3554 0.0000 0.3935
5 Ti 0.6849 0.0000 0.0522
6 Ti 0.8690 0.5000 0.4257

Values from the calculation:
- formation energy (meV/atom) = -189
- volume (Å³ per atom) = 13.9

Below is an optimized crystal structure of TcHgW3, with properties calculated at the GGA-PBE level.

a b c (Å): 4.7301 4.7301 4.7301
angles (deg): 90.00 90.00 90.00
Element x y z (fractional)
1 Hg 0.5000 0.5000 0.5000
2 W 0.0000 0.5000 0.0000
3 W 0.0000 0.0000 0.5000
4 W 0.5000 0.0000 0.0000
5 Tc 0.0000 0.0000 0.0000

Values from the calculation:
- formation energy (meV/atom) = 1907
- volume (Å³ per atom) = 21.2

Below is an optimized crystal structure of SrHoCdHg, with properties calculated at the GGA-PBE level.

a b c (Å): 5.4544 5.4544 5.4544
angles (deg): 60.00 60.00 60.00
Element x y z (fractional)
1 Sr 0.0000 0.0000 0.0000
2 Cd 0.7500 0.7500 0.7500
3 Hg 0.2500 0.2500 0.2500
4 Ho 0.5000 0.5000 0.5000

Values from the calculation:
- formation energy (meV/atom) = -353
- volume (Å³ per atom) = 28.7